This record from Alexandria via LeMat-Bulk describes crystalline DyZrNi2 at its relaxed geometry. The functional is PBE-GGA.

```
DyZrNi2
1.0
4.286 0.000 0.000
0.000 4.928 -1.577
0.000 -0.105 7.007
Dy Zr Ni
2 2 4
Cartesian
1.071 1.357 0.079
3.214 3.466 5.351
3.214 3.495 1.924
1.071 1.329 3.506
1.071 4.147 0.376
3.214 0.676 5.054
3.214 0.765 1.976
1.071 4.058 3.455
```

Values from the calculation:
Volume ... 73.64 Å³/f.u.
Mass density ... 8.37 g cm⁻³
Fermi-level density of states ... 5.810 states/eV/cell
Formation enthalpy at 0 K ... -0.444 eV per atom
Spin magnetization ... 0.0 μB per cell



This record from Alexandria via LeMat-Bulk describes crystalline TaSiOs at its relaxed geometry. The functional is PBE-GGA.

```
TaSiOs
1.0
2.890 0.000 0.000
-1.445 2.503 0.000
0.000 0.000 6.326
Os Si Ta
1 1 1
Cartesian
0.000 0.000 0.119
1.445 0.834 2.001
0.000 1.668 4.206
```

Values from the calculation:
Volume ... 45.75 Å³/f.u.
Mass density ... 14.49 g cm⁻³
Fermi-level density of states ... 2.062 states/eV/cell
Spin magnetization ... 0.0 μB per cell
Uncorrected formation energy ... -0.072 eV/atom



This record from Alexandria via LeMat-Bulk describes crystalline K2AlCl at its relaxed geometry. The functional is PBE-GGA.

```
K2AlCl
1.0
-5.715 3.220 2.459
-5.069 -2.112 -4.349
4.553 -1.760 5.024
K Al Cl
2 1 1
Cartesian
-0.522 0.054 -0.091
-4.871 0.500 -0.854
-3.277 1.007 3.269
-2.954 -1.659 -0.135
```

Values from the calculation:
Volume ... 168.20 Å³/f.u.
Mass density ... 1.39 g cm⁻³
Fermi-level density of states ... 2.212 states/eV/cell
Spin magnetization ... 0.0 μB per cell
Uncorrected formation energy ... -0.389 eV/atom



This record from Alexandria via LeMat-Bulk describes crystalline NaCd2Si2 at its relaxed geometry. The functional is PBE-GGA.

```
NaCd2Si2
1.0
4.038 0.000 0.000
0.000 4.038 0.000
2.019 2.019 6.593
Na Si Cd
1 2 2
Cartesian
0.000 0.000 0.000
4.038 2.019 3.296
2.019 4.038 3.296
2.019 2.019 1.396
4.038 4.038 5.197
```

Values from the calculation:
Volume ... 107.51 Å³/f.u.
Mass density ... 4.70 g cm⁻³
Fermi-level density of states ... 1.008 states/eV/cell
Spin magnetization ... 0.0 μB per cell
Uncorrected formation energy ... 0.189 eV/atom



This record from Alexandria via LeMat-Bulk describes crystalline DyTa4Ru5 at its relaxed geometry. The functional is PBE-GGA.

```
DyTa4Ru5
1.0
-1.991 -2.176 1.078
0.867 -1.939 -2.313
12.339 -6.362 9.956
Dy Ta Ru
1 4 5
Cartesian
0.000 0.000 0.000
2.584 -1.333 2.085
4.983 -2.569 4.020
7.357 -3.793 5.936
9.755 -5.030 7.871
0.989 -2.857 0.634
3.273 -4.035 2.476
5.607 -5.239 4.360
7.942 -6.442 6.244
10.226 -7.620 8.086
```

Values from the calculation:
Volume ... 168.49 Å³/f.u.
Mass density ... 13.72 g cm⁻³
Fermi-level density of states ... 7.372 states/eV/cell
Formation enthalpy at 0 K ... -0.374 eV per atom
Spin magnetization ... 0.0 μB per cell



This record from Alexandria via LeMat-Bulk describes crystalline LaEr2Cd at its relaxed geometry. The functional is PBE-GGA.

```
LaEr2Cd
1.0
5.461 0.000 0.000
2.730 4.729 0.000
2.730 1.576 4.458
Cd La Er
1 1 2
Cartesian
5.461 3.153 2.229
0.000 0.000 0.000
2.730 1.576 1.115
8.191 4.729 3.344
```

Values from the calculation:
Volume ... 115.13 Å³/f.u.
Mass density ... 8.45 g cm⁻³
Fermi-level density of states ... 5.828 states/eV/cell
Formation enthalpy at 0 K ... 0.046 eV per atom
Spin magnetization ... 2.2 μB per cell